Entry from Alexandria: a geometry-optimized AlIrN2O structure (GGA-PBE). Values from VASP.

Calculated values
The electronic total energy comes out at -31.0 eV for the cell shown. For the total magnetization, the calculation gives 0.00 μB per cell.

Structure (Quantum ESPRESSO input):
```
&SYSTEM
  ibrav = 0, nat = 5, ntyp = 4
/
ATOMIC_SPECIES
Al 26.98 Al.upf
Ir 192.22 Ir.upf
N 14.01 N.upf
O 16.00 O.upf
CELL_PARAMETERS angstrom
3.732 0.000 0.000
0.000 3.732 0.000
0.000 0.000 3.596
ATOMIC_POSITIONS angstrom
Al 0.000 0.000 0.000
Ir 1.866 1.866 1.798
N 0.000 1.866 0.000
N 1.866 0.000 0.000
O 0.000 0.000 1.798
```

***

Entry from Alexandria: a geometry-optimized KCu3 structure (GGA-PBE). Values from VASP.

Calculated values
The electronic total energy comes out at -10.4 eV for the cell shown. For the total magnetization, the calculation gives 0.00 μB per cell. The calculation puts the formation energy at 0.750 eV/atom.

Structure (Quantum ESPRESSO input):
```
&SYSTEM
  ibrav = 0, nat = 4, ntyp = 2
/
ATOMIC_SPECIES
K 39.10 K.upf
Cu 63.55 Cu.upf
CELL_PARAMETERS angstrom
0.000 3.332 3.332
3.332 0.000 3.332
3.332 3.332 0.000
ATOMIC_POSITIONS angstrom
K 0.000 0.000 0.000
Cu 1.666 1.666 1.666
Cu 3.332 3.332 3.332
Cu 4.997 4.997 4.997
```

***

Entry from Alexandria: a geometry-optimized TbMgGa5 structure (GGA-PBE). Values from VASP.

Calculated values
The electronic total energy comes out at -23.0 eV for the cell shown. For the total magnetization, the calculation gives 0.00 μB per cell. The calculation puts the formation energy at -0.228 eV/atom.

Structure (Quantum ESPRESSO input):
```
&SYSTEM
  ibrav = 0, nat = 7, ntyp = 3
/
ATOMIC_SPECIES
Tb 158.93 Tb.upf
Mg 24.30 Mg.upf
Ga 69.72 Ga.upf
CELL_PARAMETERS angstrom
4.100 0.000 0.000
0.000 4.100 0.000
0.000 0.000 8.725
ATOMIC_POSITIONS angstrom
Tb 0.000 0.000 0.000
Mg 2.050 2.050 4.362
Ga 0.000 2.050 2.291
Ga 0.000 2.050 6.434
Ga 2.050 0.000 2.291
Ga 2.050 0.000 6.434
Ga 2.050 2.050 0.000
```

***

Entry from Alexandria: a geometry-optimized ZnInGa structure (GGA-PBE). Values from VASP.

Calculated values
The electronic total energy comes out at -13.8 eV for the cell shown. For the total magnetization, the calculation gives 0.00 μB per cell. The calculation puts the formation energy at 0.053 eV/atom.

Structure (Quantum ESPRESSO input):
```
&SYSTEM
  ibrav = 0, nat = 6, ntyp = 3
/
ATOMIC_SPECIES
Zn 65.41 Zn.upf
In 114.82 In.upf
Ga 69.72 Ga.upf
CELL_PARAMETERS angstrom
3.408 0.000 0.000
0.260 5.727 0.000
1.604 -0.057 6.331
ATOMIC_POSITIONS angstrom
Zn 0.884 1.422 1.524
Zn 4.387 4.247 4.807
In 1.046 4.289 0.867
In 4.225 1.381 5.464
Ga 2.506 -0.029 3.166
Ga 2.636 2.835 3.166
```

***

Entry from Alexandria: a geometry-optimized LiIn2Sb structure (GGA-PBE). Values from VASP.

Calculated values
The electronic total energy comes out at -11.9 eV for the cell shown. For the total magnetization, the calculation gives 0.00 μB per cell.

Structure (Quantum ESPRESSO input):
```
&SYSTEM
  ibrav = 0, nat = 4, ntyp = 3
/
ATOMIC_SPECIES
Li 6.94 Li.upf
In 114.82 In.upf
Sb 121.76 Sb.upf
CELL_PARAMETERS angstrom
2.994 -5.041 0.000
2.994 5.041 0.000
0.000 0.000 3.347
ATOMIC_POSITIONS angstrom
Li 0.000 0.000 0.000
In 1.497 2.520 1.674
In 1.497 -2.520 1.674
Sb 2.994 0.000 0.000
```

***

Entry from Alexandria: a geometry-optimized Ba2AgP structure (GGA-PBE). Values from VASP.

Calculated values
The electronic total energy comes out at -14.5 eV for the cell shown. For the total magnetization, the calculation gives 0.00 μB per cell. The calculation puts the formation energy at -0.595 eV/atom.

Structure (Quantum ESPRESSO input):
```
&SYSTEM
  ibrav = 0, nat = 4, ntyp = 3
/
ATOMIC_SPECIES
Ba 137.33 Ba.upf
Ag 107.87 Ag.upf
P 30.97 P.upf
CELL_PARAMETERS angstrom
3.976 0.000 0.000
0.000 4.016 0.000
0.000 0.000 8.207
ATOMIC_POSITIONS angstrom
Ba 0.000 0.000 1.738
Ba 0.000 0.000 6.469
Ag 1.988 2.008 4.104
P 1.988 2.008 0.000
```

***

Entry from Alexandria: a geometry-optimized LiScH2 structure (GGA-PBE). Values from VASP.

Calculated values
The electronic total energy comes out at -16.1 eV for the cell shown. For the total magnetization, the calculation gives 0.00 μB per cell.

Structure (Quantum ESPRESSO input):
```
&SYSTEM
  ibrav = 0, nat = 4, ntyp = 3
/
ATOMIC_SPECIES
Li 6.94 Li.upf
Sc 44.96 Sc.upf
H 1.01 H.upf
CELL_PARAMETERS angstrom
1.563 0.902 5.453
-1.563 0.902 5.453
0.000 -1.804 5.453
ATOMIC_POSITIONS angstrom
Li 0.000 0.000 0.000
Sc 0.000 0.000 13.487
H 0.000 0.000 3.498
H 0.000 0.000 6.864
```

***

Entry from Alexandria: a geometry-optimized TbZnPt2 structure (GGA-PBE). Values from VASP.

Calculated values
The electronic total energy comes out at -86.8 eV for the cell shown. For the total magnetization, the calculation gives 0.00 μB per cell. The calculation puts the formation energy at -0.927 eV/atom.

Structure (Quantum ESPRESSO input):
```
&SYSTEM
  ibrav = 0, nat = 16, ntyp = 3
/
ATOMIC_SPECIES
Tb 158.93 Tb.upf
Zn 65.41 Zn.upf
Pt 195.08 Pt.upf
CELL_PARAMETERS angstrom
7.261 0.000 0.000
0.000 7.115 0.000
0.000 0.000 5.741
ATOMIC_POSITIONS angstrom
Tb 0.199 1.779 0.867
Tb 3.431 5.336 3.737
Tb 3.830 1.779 2.004
Tb 7.062 5.336 4.874
Zn 0.799 5.336 1.987
Zn 2.832 1.779 4.857
Zn 4.430 5.336 0.884
Zn 6.462 1.779 3.754
Pt 1.381 0.342 3.311
Pt 1.381 3.216 3.311
Pt 2.250 3.899 0.440
Pt 2.250 6.774 0.440
Pt 5.012 0.342 5.301
Pt 5.012 3.216 5.301
Pt 5.881 3.899 2.430
Pt 5.881 6.774 2.430
```

***

> Among the records above, which one has the lowest electronic total energy?

TbZnPt2